The following is a GGA-PBE calculation of TaCoMo after structural relaxation, from Alexandria via LeMat-Bulk.

Unit cell a=4.441 b=4.441 c=2.671 alpha=90.00 beta=90.00 gamma=120.00
Last column: magnetic moment on the atom in μB.
Fractional positions:
Mo (0.667, 0.333, 0.323)  0.32
Co (0.000, 0.000, 0.999)  1.54
Ta (0.333, 0.667, 0.677)  0.09

## Properties
The calculation puts the formation energy at 152 meV/atom. Its energy above the lowest structure with this stoichiometry is 292.7 meV per atom. As for the total magnetization: 1.945 Bohr magnetons per cell.

***

The following is a GGA-PBE calculation of Mn2Ni8Ge after structural relaxation, from Alexandria via LeMat-Bulk.

Unit cell a=4.067 b=5.311 c=6.951 alpha=112.46 beta=107.01 gamma=90.00
Last column: magnetic moment on the atom in μB.
Fractional positions:
Ni (0.355, 0.587, 0.711)  0.27
Ni (0.355, 0.124, 0.710)  0.27
Ni (0.824, 0.824, 0.649)  0.25
Ni (0.000, 0.735, 0.000)  0.24
Ni (0.645, 0.876, 0.290)  0.27
Ni (0.000, 0.265, 0.000)  0.24
Ni (0.176, 0.176, 0.351)  0.25
Ni (0.645, 0.413, 0.289)  0.27
Ge (0.500, 0.000, 0.000)  -0.05
Mn (0.188, 0.688, 0.376)  3.22
Mn (0.812, 0.312, 0.624)  3.22

## Properties
The calculation puts the formation energy at -21 meV/atom. Its energy above the lowest structure with this stoichiometry is 0.0 meV per atom. As for the total magnetization: 8.452 Bohr magnetons per cell.

***

The following is a GGA-PBE calculation of Sr5Se4 after structural relaxation, from Alexandria via LeMat-Bulk.

Unit cell a=10.904 b=10.904 c=10.904 alpha=92.14 beta=92.14 gamma=157.69
Fractional positions:
Sr (0.649, 0.649, 0.297)
Sr (0.000, 0.000, 0.000)
Sr (0.351, 0.649, 0.000)
Sr (0.351, 0.351, 0.703)
Sr (0.649, 0.351, 0.000)
Se (0.196, 0.000, 0.196)
Se (0.804, 0.000, 0.804)
Se (0.000, 0.196, 0.196)
Se (0.000, 0.804, 0.804)

## Properties
The raw formation energy comes out at -1.3668 eV/atom. Its energy above the lowest structure with this stoichiometry is 154.2 meV per atom. As for the total magnetization: 1.543 Bohr magnetons per cell.

***

The following is a GGA-PBE calculation of Li2NiP after structural relaxation, from Alexandria via LeMat-Bulk.

Unit cell a=4.619 b=4.619 c=3.453 alpha=67.99 beta=67.99 gamma=43.65
Fractional positions:
Li (0.500, 0.500, 0.500)
Li (0.000, 0.000, 0.000)
Ni (0.750, 0.750, 0.750)
P (0.250, 0.250, 0.250)

## Properties
The calculation puts the formation energy at -387 meV/atom. As for the total magnetization: 0.000 Bohr magnetons per cell.

***

The following is a GGA-PBE calculation of ZrMnC2 after structural relaxation, from Alexandria via LeMat-Bulk.

Unit cell a=3.199 b=3.199 c=5.218 alpha=72.15 beta=72.15 gamma=60.00
Last column: magnetic moment on the atom in μB.
Fractional positions:
Zr (0.500, 0.500, 0.500)  -0.03
C (0.261, 0.261, 0.216)  -0.04
C (0.739, 0.739, 0.784)  -0.04
Mn (0.000, 0.000, 0.000)  2.50

## Properties
The calculation puts the formation energy at -169 meV/atom. As for the total magnetization: 2.428 Bohr magnetons per cell.

***

The following is a GGA-PBE calculation of SiP after structural relaxation, from Alexandria via LeMat-Bulk.

Unit cell a=5.050 b=5.050 c=5.050 alpha=144.79 beta=128.07 gamma=64.30
Fractional positions:
P (0.611, 0.361, 0.750)
P (0.389, 0.639, 0.250)
Si (0.142, 0.892, 0.750)
Si (0.858, 0.108, 0.250)

## Properties
The raw formation energy comes out at 0.5292 eV/atom. As for the total magnetization: 0.000 Bohr magnetons per cell.

***

The following is a GGA-PBE calculation of KMnSb2 after structural relaxation, from Alexandria via LeMat-Bulk.

Unit cell a=5.881 b=5.881 c=5.881 alpha=134.76 beta=108.12 gamma=89.14
Last column: magnetic moment on the atom in μB.
Fractional positions:
Sb (0.425, 0.425, 0.000)  -0.09
Sb (0.075, 0.075, 0.000)  -0.09
Mn (0.250, 0.750, 0.500)  3.70
K (0.750, 0.250, 0.500)  0.00

## Properties
The raw formation energy comes out at 0.0667 eV/atom. Its energy above the lowest structure with this stoichiometry is 220.8 meV per atom. As for the total magnetization: 3.686 Bohr magnetons per cell.

***

The following is a GGA-PBE calculation of NaLaPrCd after structural relaxation, from Alexandria via LeMat-Bulk.

Unit cell a=5.629 b=5.629 c=5.629 alpha=60.00 beta=60.00 gamma=60.00
Last column: magnetic moment on the atom in μB.
Fractional positions:
La (0.500, 0.500, 0.500)  0.14
Pr (0.000, 0.000, 0.000)  0.16
Na (0.750, 0.750, 0.750)  0.01
Cd (0.250, 0.250, 0.250)  0.01

## Properties
The calculation puts the formation energy at -14 meV/atom. As for the total magnetization: 0.719 Bohr magnetons per cell.

***

no.,E (eV/atom)
1,-9.78
2,-6.31
3,-3.85
4,-4.14
5,-9.21
6,-4.89
7,-4.56
8,-3.00